Material: Sc12Te3C5
Method: DFT, PBE-GGA
State: optimized geometry

For the energy relative to the elements, uncorrected, the calculation gives -935 kJ/mol of formula units. The calculation puts the total magnetization at 0.00 μB/f.u. The density of states at the Fermi level comes out at 83.2 states/eV per cell.

The space group is Ia-3d (No. 230) and the conventional cell measures 14.7271, 14.7271 and 14.7271 Å, with angles of 90.00, 90.00 and 90.00 degrees. The inequivalent atoms are Sc at (0.0390, 0.0494, 0.6455), Te at (0.0000, 0.2500, 0.1250), C at (0.0000, 0.0000, 0.0000) and C at (0.0000, 0.2500, 0.3750).